Entry from Alexandria: a crystal of Zn6P4H14O23 relaxed with PBEsol (meta-GGA SCAN).

```
Zn6P4H14O23
1.0
-2.037 -5.794 -5.511
6.989 -6.263 1.628
-4.175 -8.368 7.739
H O Zn P
28 46 12 8
Cartesian
1.649 -14.495 5.845
-1.976 -6.713 3.019
-0.873 -5.930 -1.988
-2.521 -7.406 4.336
1.738 -11.485 -1.070
-0.214 -17.341 4.816
3.298 -13.019 -0.480
-2.511 -9.967 4.626
2.753 -13.712 0.837
-3.728 -10.926 4.871
5.940 -8.864 0.768
2.326 -12.832 7.516
-5.164 -11.561 3.088
-1.479 -4.608 -4.032
4.505 -9.499 -1.015
1.806 -15.496 4.453
2.387 -8.588 -2.717
-1.030 -4.929 -0.597
1.192 -17.340 2.709
-1.610 -11.837 6.573
-0.416 -3.085 1.147
2.255 -15.817 7.888
2.405 -12.094 -2.410
-1.549 -7.593 -3.660
0.991 -3.084 -0.960
-1.628 -8.331 6.266
3.287 -10.458 -0.770
-0.961 -8.940 4.926
-3.402 -13.508 2.581
-0.910 -16.647 4.595
0.370 -5.383 3.665
-0.867 -13.032 1.003
3.572 -13.686 0.232
4.179 -6.917 1.275
2.301 -16.625 3.586
0.937 -9.098 -2.321
-1.801 -8.540 5.308
0.509 -17.614 1.998
1.115 -18.263 5.261
-3.121 -8.430 1.396
-3.855 -10.069 -0.386
1.687 -3.778 -0.739
1.656 -14.226 7.400
2.577 -11.885 -1.452
3.749 -9.659 -0.383
4.073 -4.435 0.828
-0.679 -5.826 -0.982
0.407 -15.042 0.191
-3.296 -15.990 3.028
-2.796 -6.739 3.624
1.802 -11.734 4.601
0.267 -2.811 1.858
-2.972 -10.766 4.239
3.897 -11.995 2.460
-0.531 -12.465 3.973
0.062 -9.986 4.039
-0.880 -6.199 -3.544
-1.026 -8.691 -0.744
4.631 -10.356 4.242
-0.732 -6.903 1.999
-2.238 -10.792 1.383
1.643 -7.393 2.853
3.398 -6.090 -0.994
1.241 -5.476 1.287
-0.465 -14.949 2.569
-0.339 -2.162 -1.405
-1.524 -3.800 0.270
0.715 -10.439 -0.183
1.308 -7.960 -0.117
1.456 -14.599 4.838
3.015 -9.633 2.473
1.508 -13.522 1.857
-2.621 -14.335 4.850
-0.160 -11.327 6.178
2.550 -13.244 3.551
2.907 -8.356 0.966
-0.967 -11.415 -0.016
2.178 -3.693 1.394
1.743 -9.010 3.872
-0.598 -14.509 4.640
-1.401 -16.732 2.462
1.375 -5.916 -0.784
3.462 -11.108 5.768
-2.686 -9.317 -1.912
-2.131 -12.069 2.890
-1.774 -7.181 0.305
4.264 -10.527 2.757
0.618 -6.319 2.435
0.159 -14.106 1.421
0.290 -11.366 4.713
-3.589 -14.608 3.657
-3.487 -9.898 1.099
0.486 -9.059 -0.857
4.366 -5.817 0.199
```

E in eV/f.u.: -393.2
Crystal system: triclinic

---

Entry from Alexandria: a crystal of Zn3P2H8O12 relaxed with PBEsol (meta-GGA SCAN).

```
Zn3P2H8O12
1.0
-3.839 -2.486 1.705
2.932 -8.474 -5.750
10.384 -6.168 14.387
O H Zn P
48 32 12 8
Cartesian
7.098 -11.136 12.524
-0.383 -6.143 -0.388
5.448 -4.281 8.466
6.417 -12.531 4.364
9.860 -10.986 10.730
5.074 -6.824 6.526
0.505 -10.754 -3.005
2.791 -10.432 -0.355
2.379 -5.992 -2.181
6.406 -11.410 6.863
1.027 -8.205 -0.127
5.311 -9.455 0.261
-0.350 -2.572 1.254
4.029 -12.847 1.877
9.546 -9.481 12.722
3.603 -8.441 -2.104
9.827 -14.556 9.088
1.364 -4.704 1.114
9.203 -10.253 7.356
3.060 -4.597 5.979
6.686 -6.696 10.698
1.898 -3.124 3.422
0.274 -6.875 2.986
-2.390 -3.964 0.876
5.874 -8.688 12.447
3.688 -9.111 7.800
-0.966 -4.309 2.982
5.789 -8.017 2.543
3.071 -5.718 3.480
0.727 -5.315 5.328
2.082 -6.621 7.072
3.479 -7.287 0.497
8.450 -8.923 10.470
8.113 -12.424 9.229
5.998 -9.841 9.846
3.141 -8.236 4.495
10.443 -12.819 7.361
4.166 -7.673 10.081
2.720 -9.211 2.219
6.336 -8.892 5.848
7.579 -14.004 6.921
7.395 -10.507 3.271
8.750 -11.813 5.015
4.403 -10.304 3.817
6.757 -7.917 8.124
-0.069 -7.648 -2.379
11.867 -13.164 9.467
8.972 -6.374 13.348
6.205 -11.854 5.992
5.778 -6.806 10.307
5.386 -9.092 1.189
3.279 -7.248 10.265
2.979 -7.662 -2.146
8.625 -11.765 9.782
3.423 -7.928 1.262
6.376 -10.429 6.665
3.101 -6.699 3.677
6.498 -9.466 12.489
6.054 -9.200 9.081
5.453 -12.203 8.228
5.528 -8.584 13.381
4.024 -4.925 2.115
0.865 -3.844 1.016
3.949 -8.544 -3.038
1.999 -2.612 2.568
8.612 -13.284 9.327
6.198 -9.881 0.078
4.091 -8.036 9.154
6.901 -9.703 10.254
6.299 -12.706 9.401
2.576 -7.425 0.088
2.846 -3.115 3.742
7.478 -14.516 7.775
2.853 -9.819 -1.137
6.624 -7.309 11.480
3.272 -5.274 4.351
0.852 -5.363 0.561
6.631 -14.013 6.601
3.178 -4.423 0.942
3.699 -10.322 0.036
1.258 -10.001 0.936
6.058 -9.238 3.999
1.002 -4.980 3.273
4.703 -12.245 3.550
-1.715 -4.841 -0.769
9.908 -7.932 13.905
11.192 -12.287 11.112
8.219 -7.127 9.407
4.774 -4.883 6.793
8.475 -12.148 7.070
-0.431 -9.196 -3.563
3.419 -7.890 6.344
9.681 -9.501 11.141
-0.204 -7.627 -0.798
7.760 -11.930 3.873
6.457 -7.586 6.675
-1.506 -3.284 2.004
10.983 -13.844 8.339
3.020 -9.542 3.668
1.717 -5.199 6.470
```

E in eV/f.u.: -204.5
Crystal system: orthorhombic

---

Entry from Alexandria: a crystal of Zn2PHO5 relaxed with PBEsol (meta-GGA SCAN).

```
Zn2PHO5
1.0
-3.127 3.509 2.880
-3.366 1.062 -4.443
-5.273 -3.578 1.308
P Zn O H
2 4 10 2
Cartesian
-4.495 0.386 -2.502
-7.270 0.607 2.246
-7.050 1.186 -0.932
-4.913 3.004 1.879
-6.853 -2.012 -2.134
-4.716 -0.194 0.677
-8.143 2.454 0.095
-5.090 0.882 -1.152
-3.920 1.298 1.732
-8.821 0.632 2.145
-2.944 0.360 -2.400
-3.622 -1.462 -0.350
-1.552 0.278 0.805
-10.213 0.715 -1.060
-7.846 -0.305 -1.987
-6.675 0.110 0.897
-8.782 -0.409 -1.675
-2.984 1.401 1.420
```

Energy above the most stable polymorph in this dataset in eV per atom: 0.000
Crystal system: triclinic

---

Entry from Alexandria: a crystal of Zn2PHO5 relaxed with PBEsol (meta-GGA SCAN).

```
Zn2PHO5
1.0
5.982 0.000 0.000
0.000 8.069 0.000
0.000 0.000 8.285
O P Zn H
20 4 8 4
Cartesian
2.991 0.652 5.380
2.991 3.101 1.033
2.991 3.125 5.049
1.251 1.878 2.906
0.000 0.909 0.906
0.000 3.382 1.237
0.000 4.687 7.049
4.730 1.878 2.906
4.242 2.157 7.049
1.251 6.191 5.380
4.242 5.912 1.237
0.000 7.160 7.379
2.991 4.944 3.236
1.740 2.157 7.049
0.000 0.934 5.175
1.740 5.912 1.237
4.730 6.191 5.380
0.000 7.135 3.110
2.991 4.969 7.253
2.991 7.417 2.906
0.000 2.020 1.998
2.991 6.055 2.145
0.000 6.049 6.288
2.991 2.014 6.140
2.991 5.142 5.271
1.478 0.000 4.143
0.000 6.961 1.128
0.000 1.108 7.157
1.513 4.035 0.000
4.503 0.000 4.143
4.469 4.035 0.000
2.991 2.927 3.015
2.991 5.863 7.655
0.000 6.240 3.512
0.000 1.829 4.773
2.991 2.206 0.631
```

Energy above the most stable polymorph in this dataset in eV per atom: 0.009
Crystal system: orthorhombic

---

Entry from Alexandria: a crystal of ZrP2H2O8 relaxed with PBEsol (meta-GGA SCAN).

```
ZrP2H2O8
1.0
9.657 -0.011 0.000
-3.672 8.931 0.000
-2.992 -4.460 8.025
O H P Zr
32 8 8 4
Cartesian
3.335 -0.417 5.078
-3.375 4.084 5.023
1.042 5.889 5.332
1.749 0.430 0.859
0.029 1.585 6.812
-0.381 5.093 2.800
3.223 2.892 1.011
5.285 3.042 2.416
2.878 1.423 6.707
-2.076 4.572 7.170
-0.240 0.106 4.868
4.017 -2.750 7.767
4.448 5.088 1.213
0.456 3.048 1.597
3.218 7.663 1.319
5.014 -1.544 2.947
1.499 4.048 6.960
-2.182 1.584 5.609
-1.539 -0.381 7.015
-0.345 -2.882 6.429
-1.605 2.897 3.002
2.181 1.715 4.271
1.865 -2.881 5.226
3.182 4.278 3.157
2.062 -1.263 2.694
6.399 -2.689 7.166
4.563 1.776 4.872
6.578 0.425 3.154
-3.487 7.393 1.065
-1.076 7.134 0.259
7.425 -1.803 3.754
-1.647 4.283 0.855
3.637 6.143 3.741
-2.579 3.846 7.624
-0.743 -0.620 4.414
2.700 3.538 3.611
1.312 1.235 4.284
3.148 -3.231 7.754
7.529 3.532 0.402
-1.191 6.148 0.271
4.058 3.794 1.911
-1.021 0.733 6.115
-0.771 3.799 2.102
6.437 -1.037 2.757
-2.857 5.199 5.923
5.100 -3.373 6.769
3.264 1.092 5.269
-2.063 7.900 1.256
-3.293 2.294 4.013
4.528 6.748 0.000
3.371 -2.177 4.013
1.535 2.288 0.000
```

E in eV/f.u.: -140.7
Crystal system: tetragonal

---

Entry from Alexandria: a crystal of ZrP2H6O10 relaxed with PBEsol (meta-GGA SCAN).

```
ZrP2H6O10
1.0
5.398 0.000 -0.112
0.000 6.634 0.000
-2.407 0.000 11.979
H O P Zr
12 20 4 2
Cartesian
2.639 1.099 5.366
-0.941 2.391 7.402
-0.827 1.107 4.747
2.138 5.595 3.689
0.854 2.278 8.177
-0.894 1.270 8.584
3.933 5.708 4.464
3.837 4.073 5.547
3.886 4.587 3.283
3.819 4.424 7.120
-0.845 0.756 6.319
0.353 4.416 6.500
1.672 1.383 5.132
4.114 6.323 1.481
-0.464 1.575 7.741
1.675 2.838 8.463
4.094 0.570 5.328
4.114 3.843 1.566
-1.122 3.006 10.385
0.458 4.999 9.075
2.578 5.050 -0.035
0.414 1.733 11.901
2.534 1.682 2.791
1.320 4.700 6.734
2.971 4.951 8.563
3.456 4.892 4.126
1.317 6.155 3.403
-1.122 0.526 10.301
2.647 5.030 11.512
-1.102 3.887 6.538
0.021 1.634 3.304
0.345 1.713 0.354
1.411 1.063 3.624
3.968 5.063 0.622
1.581 4.380 8.242
-0.976 1.746 11.244
-1.137 5.060 10.391
4.128 1.743 1.475
```

E in eV/f.u.: -173.2
Crystal system: monoclinic

---

Entry from Alexandria: a crystal of H3PbO relaxed with PBEsol (meta-GGA SCAN).

```
H3PbO
1.0
3.519 0.000 0.000
0.000 3.519 0.000
0.000 0.000 3.519
H Pb O
3 1 1
Cartesian
0.000 0.000 1.759
1.759 0.000 0.000
0.000 1.759 0.000
1.759 1.759 1.759
0.000 0.000 0.000
```

E in eV/f.u.: -88.0
Crystal system: cubic

---

Entry from Alexandria: a crystal of VZnHPbO5 relaxed with PBEsol (meta-GGA SCAN).

```
VZnHPbO5
1.0
-5.907 1.365 0.066
-1.035 -4.178 -6.166
-1.673 -7.500 5.362
V O Pb H Zn
4 20 4 4 4
Cartesian
-5.960 -5.663 1.432
-1.919 -1.582 0.214
-6.696 -8.731 -0.952
-2.655 -4.649 -2.170
-2.576 -4.517 2.142
-5.581 -4.048 1.941
-5.118 -8.319 -1.574
-7.946 -7.666 -1.542
-1.059 -4.166 -2.686
-7.555 -6.146 1.948
-2.650 -4.713 -0.488
-3.034 -6.264 -2.679
-0.669 -2.647 0.804
-3.496 -1.993 0.836
-6.027 -6.109 4.692
-3.710 -9.370 1.035
-2.588 -4.203 -5.430
-3.887 -3.513 -2.654
-4.905 -0.943 -1.772
-5.964 -5.600 -0.249
-4.728 -6.799 1.916
-6.698 -8.827 0.781
-6.039 -5.795 -2.880
-1.916 -1.486 -1.518
-5.352 -2.939 -0.508
-2.986 -6.365 3.625
-3.262 -7.374 -0.230
-5.629 -3.948 -4.363
-4.695 -0.057 -1.332
-2.609 -4.612 1.136
-3.919 -10.255 0.594
-6.006 -5.701 -1.874
-0.517 -2.089 -3.083
-3.471 -1.406 -3.050
-3.790 -3.067 2.714
-0.837 -3.750 2.681
```

E in eV/f.u.: -158.4
Crystal system: orthorhombic

---

The records above give, respectively, N(E_F) values of 0.000, 0.000, 0.000, 0.000, 0.000, 0.000, 0.999, 0.000 states/eV/f.u..